(1)
Compound: Y4InGaO
Source: the Alexandria database
Functional: GGA-PBE
Structure: optimized geometry

Calculated values
**Volume**: 343 Å³ per cell
**M_tot**: 0.0 μB/cell
**Energy relative to the elements, uncorrected**: -1.148 eV/atom

The structure in CIF format:
```
data_Y4InGaO
_chemical_formula_sum 'Y8 In2 Ga2 O2'
_cell_length_a 6.4997
_cell_length_b 6.5140
_cell_length_c 8.7370
_cell_angle_alpha 90.00
_cell_angle_beta 111.84
_cell_angle_gamma 90.00
_symmetry_space_group_name_H-M 'P 1'
_symmetry_Int_Tables_number 1
_symmetry_space_group_name_Hall 'P 1'
loop_
_atom_site_label
_atom_site_fract_x
_atom_site_fract_y
_atom_site_fract_z
In1 0.6094 0.7500 0.2188
In2 0.3906 0.2500 0.7812
O1 0.7396 0.2500 0.4793
O2 0.2604 0.7500 0.5207
Y1 0.0000 0.5000 0.5000
Y2 0.0000 0.0000 0.5000
Y3 0.5000 0.5000 0.5000
Y4 0.9312 0.2500 0.8624
Y5 0.4168 0.7500 0.8336
Y6 0.5832 0.2500 0.1664
Y7 0.0688 0.7500 0.1376
Y8 0.5000 0.0000 0.5000
Ga1 0.8827 0.7500 0.7654
Ga2 0.1173 0.2500 0.2346
```

***

(2)
Compound: In2HgSb2
Source: the Alexandria database
Functional: GGA-PBE
Structure: optimized geometry

Calculated values
**Offset from the most stable computed form**: 0.000 eV/atom
**Volume**: 163 Å³ per cell
**M_tot**: 0.0 μB/cell
**Energy relative to the elements, uncorrected**: 0.060 eV/atom

The structure in CIF format:
```
data_In2HgSb2
_chemical_formula_sum 'In2 Hg1 Sb2'
_cell_length_a 4.9207
_cell_length_b 4.9207
_cell_length_c 7.5859
_cell_angle_alpha 71.07
_cell_angle_beta 71.07
_cell_angle_gamma 90.00
_symmetry_space_group_name_H-M 'P 1'
_symmetry_Int_Tables_number 1
_symmetry_space_group_name_Hall 'P 1'
loop_
_atom_site_label
_atom_site_fract_x
_atom_site_fract_y
_atom_site_fract_z
Sb1 0.3779 0.3779 0.2442
Sb2 0.6221 0.6221 0.7558
Hg1 0.0000 0.0000 0.0000
In1 0.2500 0.7500 0.5000
In2 0.7500 0.2500 0.5000
```

***

(3)
Compound: SmEr3Th3
Source: the Alexandria database
Functional: GGA-PBE
Structure: optimized geometry

Calculated values
**Formation energy**: 0.06 eV/atom
**Offset from the most stable computed form**: 0.020 eV/atom
**Volume**: 452 Å³ per cell
**M_tot**: 0.0 μB/cell

The structure in CIF format:
```
data_SmEr3Th3
_chemical_formula_sum 'Sm2 Er6 Th6'
_cell_length_a 5.8014
_cell_length_b 9.4802
_cell_length_c 9.4802
_cell_angle_alpha 120.00
_cell_angle_beta 90.00
_cell_angle_gamma 90.00
_symmetry_space_group_name_H-M 'P 1'
_symmetry_Int_Tables_number 1
_symmetry_space_group_name_Hall 'P 1'
loop_
_atom_site_label
_atom_site_fract_x
_atom_site_fract_y
_atom_site_fract_z
Sm1 0.2500 0.3333 0.6667
Sm2 0.7500 0.6667 0.3333
Er1 0.7500 0.9575 0.1942
Er2 0.7500 0.8058 0.7633
Er3 0.2500 0.0425 0.8058
Er4 0.2500 0.1942 0.2367
Er5 0.7500 0.2367 0.0425
Er6 0.2500 0.7633 0.9575
Th1 0.2500 0.4838 0.1013
Th2 0.7500 0.3825 0.4838
Th3 0.7500 0.1013 0.6175
Th4 0.2500 0.6175 0.5162
Th5 0.7500 0.5162 0.8987
Th6 0.2500 0.8987 0.3825
```

***

(4)
Compound: Tl4Ag5
Source: the Alexandria database
Functional: GGA-PBE
Structure: optimized geometry

Calculated values
**Formation energy**: 0.13 eV/atom
**Offset from the most stable computed form**: 0.000 eV/atom
**Volume**: 205 Å³ per cell
**M_tot**: 0.0 μB/cell

The structure in CIF format:
```
data_Tl4Ag5
_chemical_formula_sum 'Tl4 Ag5'
_cell_length_a 7.0868
_cell_length_b 7.0868
_cell_length_c 7.0868
_cell_angle_alpha 95.89
_cell_angle_beta 95.89
_cell_angle_gamma 142.63
_symmetry_space_group_name_H-M 'P 1'
_symmetry_Int_Tables_number 1
_symmetry_space_group_name_Hall 'P 1'
loop_
_atom_site_label
_atom_site_fract_x
_atom_site_fract_y
_atom_site_fract_z
Tl1 0.6846 0.0000 0.6846
Tl2 0.0000 0.3154 0.3154
Tl3 0.0000 0.6846 0.6846
Tl4 0.3154 0.0000 0.3154
Ag1 0.6562 0.6562 0.3123
Ag2 0.0000 0.0000 0.0000
Ag3 0.6562 0.3438 0.0000
Ag4 0.3438 0.6562 0.0000
Ag5 0.3438 0.3438 0.6877
```

***

(5)
Compound: Be4TeIr
Source: the Alexandria database
Functional: GGA-PBE
Structure: optimized geometry

Calculated values
**Volume**: 71 Å³ per cell
**M_tot**: 0.0 μB/cell
**Energy relative to the elements, uncorrected**: 0.213 eV/atom

The structure in CIF format:
```
data_Be4TeIr
_chemical_formula_sum 'Be4 Te1 Ir1'
_cell_length_a 4.6572
_cell_length_b 4.6572
_cell_length_c 4.6572
_cell_angle_alpha 60.00
_cell_angle_beta 60.00
_cell_angle_gamma 60.00
_symmetry_space_group_name_H-M 'P 1'
_symmetry_Int_Tables_number 1
_symmetry_space_group_name_Hall 'P 1'
loop_
_atom_site_label
_atom_site_fract_x
_atom_site_fract_y
_atom_site_fract_z
Be1 0.3783 0.8651 0.3783
Be2 0.8651 0.3783 0.3783
Be3 0.3783 0.3783 0.3783
Be4 0.3783 0.3783 0.8651
Ir1 0.7500 0.7500 0.7500
Te1 0.0000 0.0000 0.0000
```

***

(6)
Compound: BeSi3Ni
Source: the Alexandria database
Functional: GGA-PBE
Structure: optimized geometry

Calculated values
**Offset from the most stable computed form**: 0.064 eV/atom
**Volume**: 72 Å³ per cell
**M_tot**: 0.0 μB/cell
**Energy relative to the elements, uncorrected**: 0.812 eV/atom

The structure in CIF format:
```
data_BeSi3Ni
_chemical_formula_sum 'Be1 Si3 Ni1'
_cell_length_a 4.1673
_cell_length_b 4.1673
_cell_length_c 4.1673
_cell_angle_alpha 90.00
_cell_angle_beta 90.00
_cell_angle_gamma 90.00
_symmetry_space_group_name_H-M 'P 1'
_symmetry_Int_Tables_number 1
_symmetry_space_group_name_Hall 'P 1'
loop_
_atom_site_label
_atom_site_fract_x
_atom_site_fract_y
_atom_site_fract_z
Si1 0.0000 0.0000 0.5000
Si2 0.0000 0.5000 0.0000
Si3 0.5000 0.0000 0.0000
Be1 0.0000 0.0000 0.0000
Ni1 0.5000 0.5000 0.5000
```

***

(7)
Compound: Sc2Be2Ru
Source: the Alexandria database
Functional: GGA-PBE
Structure: optimized geometry

Calculated values
**Formation energy**: -0.17 eV/atom
**Volume**: 150 Å³ per cell
**M_tot**: 0.0 μB/cell

The structure in CIF format:
```
data_Sc2Be2Ru
_chemical_formula_sum 'Sc4 Be4 Ru2'
_cell_length_a 6.4145
_cell_length_b 6.4145
_cell_length_c 3.6345
_cell_angle_alpha 90.00
_cell_angle_beta 90.00
_cell_angle_gamma 90.00
_symmetry_space_group_name_H-M 'P 1'
_symmetry_Int_Tables_number 1
_symmetry_space_group_name_Hall 'P 1'
loop_
_atom_site_label
_atom_site_fract_x
_atom_site_fract_y
_atom_site_fract_z
Ru1 0.0000 0.0000 0.0000
Ru2 0.5000 0.5000 0.0000
Be1 0.8835 0.6165 0.0000
Be2 0.6165 0.1165 0.0000
Be3 0.3835 0.8835 0.0000
Be4 0.1165 0.3835 0.0000
Sc1 0.6856 0.8144 0.5000
Sc2 0.3144 0.1856 0.5000
Sc3 0.8144 0.3144 0.5000
Sc4 0.1856 0.6856 0.5000
```

***

(8)
Compound: ScCo2Ir
Source: the Alexandria database
Functional: GGA-PBE
Structure: optimized geometry

Calculated values
**Formation energy**: -0.06 eV/atom
**Volume**: 57 Å³ per cell
**M_tot**: 3.1 μB/cell

The structure in CIF format:
```
data_ScCo2Ir
_chemical_formula_sum 'Sc1 Co2 Ir1'
_cell_length_a 3.1653
_cell_length_b 3.1653
_cell_length_c 5.6857
_cell_angle_alpha 90.00
_cell_angle_beta 90.00
_cell_angle_gamma 90.01
_symmetry_space_group_name_H-M 'P 1'
_symmetry_Int_Tables_number 1
_symmetry_space_group_name_Hall 'P 1'
loop_
_atom_site_label
_atom_site_fract_x
_atom_site_fract_y
_atom_site_fract_z
Sc1 0.5000 0.5000 0.7500
Ir1 0.5000 0.5000 0.2500
Co1 0.0000 0.0000 0.0236
Co2 0.0000 0.0000 0.4764
```

***

(9)
Compound: YZr2Rh2
Source: the Alexandria database
Functional: GGA-PBE
Structure: optimized geometry

Calculated values
**Formation energy**: -0.26 eV/atom
**Offset from the most stable computed form**: 0.316 eV/atom
**Volume**: 115 Å³ per cell
**M_tot**: 0.9 μB/cell

The structure in CIF format:
```
data_YZr2Rh2
_chemical_formula_sum 'Y1 Zr2 Rh2'
_cell_length_a 4.8460
_cell_length_b 4.8460
_cell_length_c 5.9937
_cell_angle_alpha 66.16
_cell_angle_beta 66.16
_cell_angle_gamma 90.00
_symmetry_space_group_name_H-M 'P 1'
_symmetry_Int_Tables_number 1
_symmetry_space_group_name_Hall 'P 1'
loop_
_atom_site_label
_atom_site_fract_x
_atom_site_fract_y
_atom_site_fract_z
Rh1 0.7500 0.2500 0.5000
Rh2 0.2500 0.7500 0.5000
Y1 0.0000 0.0000 0.0000
Zr1 0.3481 0.3481 0.3038
Zr2 0.6519 0.6519 0.6962
```

***

(10)
Compound: LaMg2Fe
Source: the Alexandria database
Functional: GGA-PBE
Structure: optimized geometry

Calculated values
**Formation energy**: 0.29 eV/atom
**Volume**: 91 Å³ per cell
**M_tot**: 1.8 μB/cell

The structure in CIF format:
```
data_LaMg2Fe
_chemical_formula_sum 'La1 Mg2 Fe1'
_cell_length_a 5.4684
_cell_length_b 5.4684
_cell_length_c 5.4684
_cell_angle_alpha 130.90
_cell_angle_beta 130.90
_cell_angle_gamma 71.97
_symmetry_space_group_name_H-M 'P 1'
_symmetry_Int_Tables_number 1
_symmetry_space_group_name_Hall 'P 1'
loop_
_atom_site_label
_atom_site_fract_x
_atom_site_fract_y
_atom_site_fract_z
Mg1 0.5000 0.5000 0.0000
Mg2 0.0000 0.0000 0.0000
La1 0.7500 0.2500 0.5000
Fe1 0.2500 0.7500 0.5000
```

***

Question: What is the M_tot in the tenth record?
Answer: 1.8 μB/cell

***

Question: Which formula does entry 7 have?
Answer: Sc2Be2Ru

***

Question: Which value of volume does entry 9 give?
Answer: 115 Å³ per cell

***

Question: Among the records above, which one has the highest volume?
Answer: SmEr3Th3